VASP calculation (GGA-PBE) on a relaxed LaEr2InC crystal.

```
data_LaEr2InC
_cell_length_a 4.924
_cell_length_b 4.924
_cell_length_c 5.176
_cell_angle_alpha 90.00
_cell_angle_beta 90.00
_cell_angle_gamma 90.00
_space_group_name_H-M_alt 'P 4/m m m'
_space_group_IT_number 123
_space_group_name_Hall '-P 4 2'
loop_
_atom_site_label
_atom_site_type_symbol
_atom_site_fract_x
_atom_site_fract_y
_atom_site_fract_z
La1 La 0.000 0.000 0.000
Er1 Er 0.000 0.500 0.500
In1 In 0.500 0.500 0.000
C1 C 0.000 0.000 0.500
```

Summary:
total moment: 0.00 μB/cell
E_form: -0.421 eV per atom
calculated total energy: -28.12 eV for the cell shown
D(E_F): 2.205 states/eV/f.u.